[1]
Compound: MgMo2
Source: Alexandria via LeMat-Bulk
Functional: PBE
Structure: relaxed

The value obtained for the total energy is -7.46 eV per atom. The energy relative to the elements is 296.0 meV/atom. The energy above the lowest structure with this stoichiometry is 111 meV/atom.

The structure in CIF format:
```
data_MgMo2
_chemical_formula_sum 'Mg2 Mo4'
_space_group_name_H-M_alt 'I m m m'
_space_group_IT_number 71
_space_group_name_Hall '-I 2 2'
_cell_length_a 2.6602
_cell_length_b 4.5725
_cell_length_c 8.1502
_cell_angle_alpha 90.00
_cell_angle_beta 90.00
_cell_angle_gamma 90.00
loop_
_atom_site_label
_atom_site_fract_x
_atom_site_fract_y
_atom_site_fract_z
Mg1 0.0000 0.0000 0.0000
Mo1 0.0000 0.0000 0.3385
```

***

[2]
Compound: Nd6GaTc2
Source: Alexandria via LeMat-Bulk
Functional: PBE
Structure: relaxed

The value obtained for the total energy is -5.92 eV per atom. The energy relative to the elements is -102.1 meV/atom.

The structure in CIF format:
```
data_Nd6GaTc2
_chemical_formula_sum 'Nd24 Ga4 Tc8'
_space_group_name_H-M_alt 'I m m m'
_space_group_IT_number 71
_space_group_name_Hall '-I 2 2'
_cell_length_a 9.7252
_cell_length_b 9.7841
_cell_length_c 10.6011
_cell_angle_alpha 90.00
_cell_angle_beta 90.00
_cell_angle_gamma 90.00
loop_
_atom_site_label
_atom_site_fract_x
_atom_site_fract_y
_atom_site_fract_z
Nd1 0.0000 0.1885 0.1692
Nd2 0.1836 0.2265 0.5000
Nd3 0.1967 0.5000 0.2541
Ga1 0.0000 0.5000 0.0000
Ga2 0.0000 0.5000 0.5000
Tc1 0.0000 0.0000 0.3887
Tc2 0.1808 0.0000 0.0000
```

***

[3]
Compound: Y2CuBi2
Source: Alexandria via LeMat-Bulk
Functional: PBE
Structure: relaxed

The value obtained for the total energy is -5.28 eV per atom. The energy relative to the elements is -326.7 meV/atom. The energy above the lowest structure with this stoichiometry is 26 meV/atom.

The structure in CIF format:
```
data_Y2CuBi2
_chemical_formula_sum 'Y4 Cu2 Bi4'
_space_group_name_H-M_alt 'P 4/m b m'
_space_group_IT_number 127
_space_group_name_Hall '-P 4 2ab'
_cell_length_a 7.9118
_cell_length_b 7.9118
_cell_length_c 4.4874
_cell_angle_alpha 90.00
_cell_angle_beta 90.00
_cell_angle_gamma 90.00
loop_
_atom_site_label
_atom_site_fract_x
_atom_site_fract_y
_atom_site_fract_z
Y1 0.1626 0.3374 0.0000
Cu1 0.0000 0.0000 0.0000
Bi1 0.1500 0.6500 0.5000
```

***

[4]
Compound: SnPt2O
Source: Alexandria via LeMat-Bulk
Functional: PBE
Structure: relaxed

The formation energy from raw total energies comes out at 0.028 eV per atom. The value obtained for the total energy is -5.23 eV per atom. The energy above the lowest structure with this stoichiometry is 122 meV/atom.

The structure in CIF format:
```
data_SnPt2O
_chemical_formula_sum 'Sn4 Pt8 O4'
_space_group_name_H-M_alt 'F m -3 m'
_space_group_IT_number 225
_space_group_name_Hall '-F 4 2 3'
_cell_length_a 6.2434
_cell_length_b 6.2434
_cell_length_c 6.2434
_cell_angle_alpha 90.00
_cell_angle_beta 90.00
_cell_angle_gamma 90.00
loop_
_atom_site_label
_atom_site_fract_x
_atom_site_fract_y
_atom_site_fract_z
Sn1 0.0000 0.0000 0.0000
Pt1 0.2500 0.2500 0.2500
O1 0.0000 0.0000 0.5000
```

***

[5]
Compound: Sm2Sc3Ge4
Source: Alexandria via LeMat-Bulk
Functional: PBE
Structure: relaxed

The value obtained for the total energy is -5.98 eV per atom. The energy relative to the elements is -771.3 meV/atom. The energy above the lowest structure with this stoichiometry is 136 meV/atom.

The structure in CIF format:
```
data_Sm2Sc3Ge4
_chemical_formula_sum 'Sm8 Sc12 Ge16'
_space_group_name_H-M_alt 'C m c e'
_space_group_IT_number 64
_space_group_name_Hall '-C 2ac 2'
_cell_length_a 6.4512
_cell_length_b 15.7011
_cell_length_c 8.0202
_cell_angle_alpha 90.00
_cell_angle_beta 90.00
_cell_angle_gamma 90.00
loop_
_atom_site_label
_atom_site_fract_x
_atom_site_fract_y
_atom_site_fract_z
Sm1 0.0000 0.1101 0.0915
Sc1 0.0000 0.0000 0.5000
Sc2 0.2500 0.2065 0.7500
Ge1 0.0000 0.1901 0.4457
Ge2 0.2500 0.0347 0.7500
```

***

[6]
Compound: Rb12Hg5H3
Source: Alexandria via LeMat-Bulk
Functional: PBE
Structure: relaxed

The value obtained for the total energy is -1.06 eV per atom.

The structure in CIF format:
```
data_Rb12Hg5H3
_chemical_formula_sum 'Rb96 Hg40 H24'
_space_group_name_H-M_alt 'I a -3 d'
_space_group_IT_number 230
_space_group_name_Hall '-I 4bd 2c 3'
_cell_length_a 20.4786
_cell_length_b 20.4786
_cell_length_c 20.4786
_cell_angle_alpha 90.00
_cell_angle_beta 90.00
_cell_angle_gamma 90.00
loop_
_atom_site_label
_atom_site_fract_x
_atom_site_fract_y
_atom_site_fract_z
Rb1 0.0253 0.0970 0.6459
Hg1 0.0000 0.0000 0.0000
Hg2 0.0000 0.2500 0.3750
H1 0.0000 0.2500 0.1250
```

***

[7]
Compound: UPbAu
Source: Alexandria via LeMat-Bulk
Functional: PBE
Structure: relaxed

The value obtained for the total energy is -5.98 eV per atom. The energy relative to the elements is 109.9 meV/atom.

The structure in CIF format:
```
data_UPbAu
_chemical_formula_sum 'U2 Pb2 Au2'
_space_group_name_H-M_alt 'I 4 m m'
_space_group_IT_number 107
_space_group_name_Hall 'I 4 -2'
_cell_length_a 3.3386
_cell_length_b 3.3386
_cell_length_c 13.3810
_cell_angle_alpha 90.00
_cell_angle_beta 90.00
_cell_angle_gamma 90.00
loop_
_atom_site_label
_atom_site_fract_x
_atom_site_fract_y
_atom_site_fract_z
U1 0.0000 0.0000 0.0000
Pb1 0.0000 0.0000 0.3086
Au1 0.0000 0.0000 0.6454
```

***

[8]
Compound: TeWAu2
Source: Alexandria via LeMat-Bulk
Functional: PBE
Structure: relaxed

The formation energy from raw total energies comes out at 0.530 eV per atom. The value obtained for the total energy is -5.13 eV per atom.

The structure in CIF format:
```
data_TeWAu2
_chemical_formula_sum 'Te2 W2 Au4'
_space_group_name_H-M_alt 'C 1 m 1'
_space_group_IT_number 8
_cell_length_a 9.3169
_cell_length_b 3.2911
_cell_length_c 5.1797
_cell_angle_alpha 90.00
_cell_angle_beta 102.12
_cell_angle_gamma 90.00
loop_
_space_group_symop_operation_xyz
'x,y,z'
'x,-y,z'
'x+1/2,y+1/2,z'
'x+1/2,-y+1/2,z'
loop_
_atom_site_label
_atom_site_fract_x
_atom_site_fract_y
_atom_site_fract_z
Te1 0.0000 0.0000 0.0000
W1 0.2695 0.0000 0.8247
Au1 0.0292 0.5000 0.5361
Au2 0.2782 0.5000 0.3304
```

***

[9]
Compound: HoTm2HfSb4
Source: Alexandria via LeMat-Bulk
Functional: PBE
Structure: relaxed

The formation energy from raw total energies comes out at -0.904 eV per atom. The value obtained for the total energy is -5.90 eV per atom.

The structure in CIF format:
```
data_HoTm2HfSb4
_chemical_formula_sum 'Ho1 Tm2 Hf1 Sb4'
_space_group_name_H-M_alt 'P 1 2/m 1'
_space_group_IT_number 10
_cell_length_a 7.4066
_cell_length_b 4.2728
_cell_length_c 7.4071
_cell_angle_alpha 90.00
_cell_angle_beta 109.27
_cell_angle_gamma 90.00
loop_
_space_group_symop_operation_xyz
'x,y,z'
'-x,-y,-z'
'-x,y,-z'
'x,-y,z'
loop_
_atom_site_label
_atom_site_fract_x
_atom_site_fract_y
_atom_site_fract_z
Ho1 0.0000 0.0000 0.0000
Tm1 0.5000 0.0000 0.5000
Tm2 0.5000 0.5000 0.0000
Hf1 0.0000 0.5000 0.5000
Sb1 0.2411 0.0000 0.7395
Sb2 0.2465 0.5000 0.2566
```

***

[10]
Compound: NiSn2Pt
Source: Alexandria via LeMat-Bulk
Functional: PBE
Structure: relaxed

The value obtained for the total energy is -4.81 eV per atom. The energy relative to the elements is 146.3 meV/atom. The energy above the lowest structure with this stoichiometry is 250 meV/atom.

The structure in CIF format:
```
data_NiSn2Pt
_chemical_formula_sum 'Ni3 Sn6 Pt3'
_space_group_name_H-M_alt 'R -3 m'
_space_group_IT_number 166
_space_group_name_Hall '-R 3 2"'
_cell_length_a 3.3134
_cell_length_b 3.3134
_cell_length_c 26.8906
_cell_angle_alpha 90.00
_cell_angle_beta 90.00
_cell_angle_gamma 120.00
loop_
_atom_site_label
_atom_site_fract_x
_atom_site_fract_y
_atom_site_fract_z
Ni1 0.0000 0.0000 0.0000
Sn1 0.0000 0.0000 0.0921
Pt1 0.0000 0.0000 0.5000
```